No. 1
This record from Alexandria describes a relaxed structure of Li5HoCd4. The functional is PBE-GGA.

Results
space-group type: No. 123
DFT formation energy: -1.640 eV per formula unit

Cell: 3.444 3.444 16.653 Å, 90.00 90.00 90.00°
Positions (direct):
Li (0.000, 0.000, 0.000)
Li (0.000, 0.000, 0.190)
Li (0.000, 0.000, 0.371)
Li (0.000, 0.000, 0.629)
Li (0.000, 0.000, 0.810)
Ho (0.500, 0.500, 0.500)
Cd (0.500, 0.500, 0.096)
Cd (0.500, 0.500, 0.290)
Cd (0.500, 0.500, 0.710)
Cd (0.500, 0.500, 0.904)

No. 2
This record from Alexandria describes a relaxed structure of TaCr2Os. The functional is PBE-GGA.

Results
space-group type: No. 123
DFT formation energy: 0.737 eV per formula unit

Cell: 3.735 3.735 4.112 Å, 90.00 90.00 90.00°
Positions (direct):
Ta (0.000, 0.000, 0.000)
Cr (0.000, 0.500, 0.500)
Cr (0.500, 0.000, 0.500)
Os (0.500, 0.500, 0.000)